[1]
# TlCdIn2F6

An optimized crystal structure of TlCdIn2F6 (PBE-GGA, Alexandria via LeMat-Bulk).

## Properties
* electronic total energy: -3.930 eV/atom
* ΔE_f (raw): -1932 meV/atom
* size of the total moment: 0.0 μB per formula unit

Cell lengths 6.453, 6.469, 6.502 Å; angles 90.13, 119.55, 119.87 degrees
Space group P1 (No. 1)
Asymmetric unit:
Tl1 0.000 0.000 0.000 (multiplicity 1)
Cd1 0.912 0.457 0.369 (multiplicity 1)
In1 0.497 0.249 0.749 (multiplicity 1)
In2 0.530 0.766 0.298 (multiplicity 1)
F1 0.088 0.866 0.518 (multiplicity 1)
F2 0.290 0.424 0.514 (multiplicity 1)
F3 0.481 0.421 0.046 (multiplicity 1)
F4 0.625 0.063 0.046 (multiplicity 1)
F5 0.649 0.222 0.517 (multiplicity 1)
F6 0.978 0.562 0.042 (multiplicity 1)

***

[2]
# TlCd2InF8

An optimized crystal structure of TlCd2InF8 (PBE-GGA, Alexandria via LeMat-Bulk).

## Properties
* electronic total energy: -4.034 eV/atom
* ΔE_f (raw): -2209 meV/atom
* size of the total moment: 0.0 μB per formula unit

Cell lengths 5.193, 7.425, 5.328 Å; angles 90.00, 90.51, 90.00 degrees
Space group P2/m (No. 10)
Asymmetric unit:
Tl1 0.000 0.000 0.000 (multiplicity 1)
Cd1 0.500 0.252 0.500 (multiplicity 2)
In1 0.000 0.500 0.000 (multiplicity 1)
F1 0.179 0.302 0.222 (multiplicity 4)
F2 0.310 0.500 0.726 (multiplicity 2)
F3 0.388 0.000 0.713 (multiplicity 2)